1.
# Tb6Sm2Tl | Alexandria via LeMat-Bulk | GGA-PBE | relaxed
# **DFT formation energy**: 0.0001 eV/atom
# **Crystal system**: orthorhombic
# **Energy relative to the lowest polymorph listed for this composition**: 0 meV per atom
data_Tb6Sm2Tl
_chemical_formula_sum 'Tb12 Sm4 Tl2'
_space_group_name_H-M_alt 'I m m m'
_space_group_IT_number 71
_space_group_name_Hall '-I 2 2'
_cell_length_a 3.519
_cell_length_b 10.225
_cell_length_c 15.984
_cell_angle_alpha 90.00
_cell_angle_beta 90.00
_cell_angle_gamma 90.00
loop_
_atom_site_label
_atom_site_fract_x
_atom_site_fract_y
_atom_site_fract_z
Tb1 0.000 0.163 0.177
Tb2 0.000 0.194 0.500
Sm1 0.000 0.500 0.154
Tl1 0.000 0.000 0.000



2.
# YbCl2 | Alexandria via LeMat-Bulk | GGA-PBE | relaxed
# **E_form (uncorrected)**: -2.279 eV/atom
# **Crystal system**: orthorhombic
data_YbCl2
_chemical_formula_sum 'Yb8 Cl16'
_space_group_name_H-M_alt 'P b c a'
_space_group_IT_number 61
_cell_length_a 6.738
_cell_length_b 13.241
_cell_length_c 6.951
_cell_angle_alpha 90.00
_cell_angle_beta 90.00
_cell_angle_gamma 90.00
loop_
_space_group_symop_operation_xyz
'x,y,z'
'-x,-y,-z'
'-x+1/2,-y,z+1/2'
'x+1/2,y,-z+1/2'
'x+1/2,-y+1/2,-z'
'-x+1/2,y+1/2,z'
'-x,y+1/2,-z+1/2'
'x,-y+1/2,z+1/2'
loop_
_atom_site_label
_atom_site_fract_x
_atom_site_fract_y
_atom_site_fract_z
Yb1 0.232 0.113 0.045
Cl1 0.002 0.028 0.737
Cl2 0.138 0.708 0.381



3.
# LiDyNb4N8 | Alexandria via LeMat-Bulk | GGA-PBE | relaxed
# **E_form (uncorrected)**: -0.829 eV/atom
# **Crystal system**: trigonal
data_LiDyNb4N8
_chemical_formula_sum 'Li3 Dy3 Nb12 N24'
_space_group_name_H-M_alt 'R 3 m'
_space_group_IT_number 160
_space_group_name_Hall 'R 3 -2"'
_cell_length_a 6.3593
_cell_length_b 6.3593
_cell_length_c 15.6218
_cell_angle_alpha 90.00
_cell_angle_beta 90.00
_cell_angle_gamma 120.00
loop_
_atom_site_label
_atom_site_fract_x
_atom_site_fract_y
_atom_site_fract_z
Li1 0.0000 0.0000 0.0000
Dy1 0.0000 0.0000 0.6186
Nb1 0.0000 0.0000 0.3757
Nb2 0.0114 0.5057 0.5026
N1 0.0000 0.0000 0.2394
N2 0.0000 0.0000 0.7607
N3 0.1689 0.3379 0.0894
N4 0.1873 0.3746 0.5693



4.
# Sr3Zn2Cu4 | Alexandria via LeMat-Bulk | GGA-PBE | relaxed
# **DFT formation energy**: -0.1437 eV/atom
# **Crystal system**: monoclinic
# **Energy relative to the lowest polymorph listed for this composition**: 0 meV per atom
data_Sr3Zn2Cu4
_chemical_formula_sum 'Sr6 Zn4 Cu8'
_space_group_name_H-M_alt 'C 1 2/m 1'
_space_group_IT_number 12
_cell_length_a 11.090
_cell_length_b 4.360
_cell_length_c 8.715
_cell_angle_alpha 90.00
_cell_angle_beta 102.68
_cell_angle_gamma 90.00
loop_
_space_group_symop_operation_xyz
'x,y,z'
'-x,-y,-z'
'-x,y,-z'
'x,-y,z'
'x+1/2,y+1/2,z'
'-x+1/2,-y+1/2,-z'
'-x+1/2,y+1/2,-z'
'x+1/2,-y+1/2,z'
loop_
_atom_site_label
_atom_site_fract_x
_atom_site_fract_y
_atom_site_fract_z
Sr1 0.000 0.000 0.000
Sr2 0.122 0.500 0.381
Zn1 0.183 0.500 0.782
Cu1 0.090 0.000 0.644
Cu2 0.246 0.500 0.081



5.
# KAgP2N | Alexandria via LeMat-Bulk | GGA-PBE | relaxed
# **E_form (uncorrected)**: 1.283 eV/atom
# **Crystal system**: tetragonal
data_KAgP2N
_chemical_formula_sum 'K1 Ag1 P2 N1'
_space_group_name_H-M_alt 'P 4/m m m'
_space_group_IT_number 123
_space_group_name_Hall '-P 4 2'
_cell_length_a 5.070
_cell_length_b 5.070
_cell_length_c 4.158
_cell_angle_alpha 90.00
_cell_angle_beta 90.00
_cell_angle_gamma 90.00
loop_
_atom_site_label
_atom_site_fract_x
_atom_site_fract_y
_atom_site_fract_z
K1 0.000 0.000 0.000
Ag1 0.500 0.500 0.500
P1 0.000 0.500 0.500
N1 0.500 0.500 0.000



6.
# CeZr3C | Alexandria via LeMat-Bulk | GGA-PBE | relaxed
# **DFT formation energy**: -0.0598 eV/atom
# **Crystal system**: cubic
data_CeZr3C
_chemical_formula_sum 'Ce1 Zr3 C1'
_space_group_name_H-M_alt 'P m -3 m'
_space_group_IT_number 221
_space_group_name_Hall '-P 4 2 3'
_cell_length_a 4.702
_cell_length_b 4.702
_cell_length_c 4.702
_cell_angle_alpha 90.00
_cell_angle_beta 90.00
_cell_angle_gamma 90.00
loop_
_atom_site_label
_atom_site_fract_x
_atom_site_fract_y
_atom_site_fract_z
Ce1 0.000 0.000 0.000
Zr1 0.000 0.500 0.500
C1 0.500 0.500 0.500



no.,size of the total moment (μB/cell)
1,0.00
2,1.94
3,0.00
4,0.00
5,0.00
6,0.06